# 1
# DyThRePd, optimized geometry, DFT PBE
# Total magnetization: 0.00 μB per formula unit
# Volume: 22.0 Å³/atom
# Energy of formation from the pure elements: -0.308 eV/atom
# Energy: -7.723 eV/atom
# Calculated density: 12.9 Mg/m³
data_DyThRePd
_symmetry_space_group_name_H-M 'F -4 3 m'
_symmetry_Int_Tables_number 216
_symmetry_space_group_name_Hall 'F -4 2 3'
_cell_length_a 7.066
_cell_length_b 7.066
_cell_length_c 7.066
_cell_angle_alpha 90.00
_cell_angle_beta 90.00
_cell_angle_gamma 90.00
loop_
_atom_site_label
_atom_site_fract_x
_atom_site_fract_y
_atom_site_fract_z
Dy1 0.000 0.000 0.000
Th1 0.000 0.000 0.500
Re1 0.250 0.250 0.250
Pd1 0.250 0.250 0.750

# 2
# Dy4PdRh, optimized geometry, DFT PBE
# Total magnetization: 0.00 μB per formula unit
# Excess energy over the best structure of this formula in the dataset: 2.143 kcal/mol of atoms
# Volume: 26.8 Å³/atom
# Energy of formation from the pure elements: -0.532 eV/atom
# Energy: -5.691 eV/atom
# Calculated density: 8.9 Mg/m³
data_Dy4PdRh
_symmetry_space_group_name_H-M 'C 1 2/m 1'
_symmetry_Int_Tables_number 12
_cell_length_a 6.848
_cell_length_b 6.848
_cell_length_c 6.862
_cell_angle_alpha 90.00
_cell_angle_beta 90.09
_cell_angle_gamma 90.00
loop_
_symmetry_equiv_pos_as_xyz
'x,y,z'
'-x,-y,-z'
'-x,y,-z'
'x,-y,z'
'x+1/2,y+1/2,z'
'-x+1/2,-y+1/2,-z'
'-x+1/2,y+1/2,-z'
'x+1/2,-y+1/2,z'
loop_
_atom_site_label
_atom_site_fract_x
_atom_site_fract_y
_atom_site_fract_z
Dy1 0.250 0.250 0.245
Pd1 0.000 0.000 0.500
Rh1 0.000 0.500 0.000

# 3
# Dy6Pd2Rh, optimized geometry, DFT PBE
# Total magnetization: 0.00 μB per formula unit
# Volume: 24.9 Å³/atom
# Energy of formation from the pure elements: -0.589 eV/atom
# Energy: -5.628 eV/atom
# Calculated density: 9.6 Mg/m³
data_Dy6Pd2Rh
_symmetry_space_group_name_H-M 'I m m m'
_symmetry_Int_Tables_number 71
_symmetry_space_group_name_Hall '-I 2 2'
_cell_length_a 9.538
_cell_length_b 9.671
_cell_length_c 9.713
_cell_angle_alpha 90.00
_cell_angle_beta 90.00
_cell_angle_gamma 90.00
loop_
_atom_site_label
_atom_site_fract_x
_atom_site_fract_y
_atom_site_fract_z
Dy1 0.000 0.170 0.204
Dy2 0.172 0.500 0.242
Dy3 0.185 0.239 0.500
Pd1 0.000 0.366 0.000
Pd2 0.159 0.000 0.000
Rh1 0.000 0.000 0.500
Rh2 0.000 0.500 0.500

# 4
# Dy4PdRh, optimized geometry, DFT PBE
# Total magnetization: 0.00 μB per formula unit
# Excess energy over the best structure of this formula in the dataset: 0.000 kcal/mol of atoms
# Volume: 24.6 Å³/atom
# Energy of formation from the pure elements: -0.625 eV/atom
# Energy: -5.784 eV/atom
# Calculated density: 9.7 Mg/m³
data_Dy4PdRh
_symmetry_space_group_name_H-M 'F -4 3 m'
_symmetry_Int_Tables_number 216
_symmetry_space_group_name_Hall 'F -4 2 3'
_cell_length_a 13.318
_cell_length_b 13.318
_cell_length_c 13.318
_cell_angle_alpha 90.00
_cell_angle_beta 90.00
_cell_angle_gamma 90.00
loop_
_atom_site_label
_atom_site_fract_x
_atom_site_fract_y
_atom_site_fract_z
Dy1 0.000 0.000 0.187
Dy2 0.060 0.250 0.250
Dy3 0.109 0.109 0.609
Pd1 0.160 0.160 0.840
Rh1 0.105 0.105 0.395

# 5
# Dy7Pd2Rh2, optimized geometry, DFT PBE
# Total magnetization: 0.00 μB per formula unit
# Excess energy over the best structure of this formula in the dataset: 3.904 kcal/mol of atoms
# Volume: 26.3 Å³/atom
# Energy of formation from the pure elements: -0.503 eV/atom
# Energy: -5.712 eV/atom
# Calculated density: 8.9 Mg/m³
data_Dy7Pd2Rh2
_symmetry_space_group_name_H-M 'C m m m'
_symmetry_Int_Tables_number 65
_symmetry_space_group_name_Hall '-C 2 2'
_cell_length_a 7.871
_cell_length_b 10.621
_cell_length_c 6.927
_cell_angle_alpha 90.00
_cell_angle_beta 90.00
_cell_angle_gamma 90.00
loop_
_atom_site_label
_atom_site_fract_x
_atom_site_fract_y
_atom_site_fract_z
Dy1 0.000 0.000 0.000
Dy2 0.000 0.500 0.257
Dy3 0.250 0.250 0.263
Pd1 0.193 0.000 0.500
Rh1 0.000 0.287 0.000

# 6
# Dy5PdRh4, optimized geometry, DFT PBE
# Total magnetization: 0.00 μB per formula unit
# Volume: 20.4 Å³/atom
# Energy of formation from the pure elements: -0.880 eV/atom
# Energy: -6.641 eV/atom
# Calculated density: 10.8 Mg/m³
data_Dy5PdRh4
_symmetry_space_group_name_H-M 'P 4/m m m'
_symmetry_Int_Tables_number 123
_symmetry_space_group_name_Hall '-P 4 2'
_cell_length_a 3.415
_cell_length_b 3.415
_cell_length_c 17.479
_cell_angle_alpha 90.00
_cell_angle_beta 90.00
_cell_angle_gamma 90.00
loop_
_atom_site_label
_atom_site_fract_x
_atom_site_fract_y
_atom_site_fract_z
Dy1 0.000 0.000 0.000
Dy2 0.000 0.000 0.198
Dy3 0.000 0.000 0.396
Pd1 0.500 0.500 0.500
Rh1 0.500 0.500 0.099
Rh2 0.500 0.500 0.298